(1)
VASP calculation (GGA-PBE) on a geometry-optimized TbSi2Ni10 structure.

a = 8.186 Å, b = 8.186 Å, c = 4.681 Å
α = 90.00°, β = 90.00°, γ = 90.00°
Atoms (fractional coordinates):
Tb  0.500  0.000  0.780
Tb  0.000  0.500  0.220
Si  0.750  0.750  0.500
Si  0.250  0.250  0.500
Si  0.750  0.250  0.500
Si  0.250  0.750  0.500
Ni  0.250  0.250  0.000
Ni  0.250  0.750  0.000
Ni  0.500  0.224  0.272
Ni  0.750  0.750  0.000
Ni  0.750  0.250  0.000
Ni  0.500  0.776  0.272
Ni  0.353  0.500  0.238
Ni  0.000  0.147  0.238
Ni  0.000  0.853  0.238
Ni  0.647  0.500  0.238
Ni  0.147  0.000  0.762
Ni  0.853  0.000  0.762
Ni  0.500  0.353  0.762
Ni  0.500  0.647  0.762
Ni  0.776  0.500  0.728
Ni  0.000  0.724  0.728
Ni  0.000  0.276  0.728
Ni  0.224  0.500  0.728
Ni  0.724  0.000  0.272
Ni  0.276  0.000  0.272

Calculated values
**Energy above the most stable polymorph in this dataset**: 0.000 eV/atom


(2)
VASP calculation (GGA-PBE) on a geometry-optimized Tb2Si3Ni2 structure.

a = 4.000 Å, b = 5.418 Å, c = 6.375 Å
α = 114.43°, β = 90.00°, γ = 111.66°
Atoms (fractional coordinates):
Tb  0.851  0.701  0.220
Tb  0.149  0.299  0.780
Si  0.500  0.000  0.000
Si  0.614  0.228  0.438
Si  0.386  0.772  0.562
Ni  0.863  0.725  0.752
Ni  0.137  0.275  0.248

Calculated values
**Energy above the most stable polymorph in this dataset**: 0.122 eV/atom


(3)
VASP calculation (GGA-PBE) on a geometry-optimized TbSiNi4 structure.

a = 4.822 Å, b = 4.822 Å, c = 3.948 Å
α = 90.00°, β = 90.00°, γ = 116.49°
Atoms (fractional coordinates):
Tb  0.000  0.000  0.000
Si  0.500  0.500  0.500
Ni  0.342  0.658  0.000
Ni  0.658  0.342  0.000
Ni  0.500  0.000  0.500
Ni  0.000  0.500  0.500

Calculated values
**Energy above the most stable polymorph in this dataset**: 0.000 eV/atom


(4)
VASP calculation (GGA-PBE) on a geometry-optimized Tb3Si2Ni9 structure.

a = 3.906 Å, b = 7.646 Å, c = 7.646 Å
α = 73.11°, β = 75.20°, γ = 75.20°
Atoms (fractional coordinates):
Tb  0.000  0.000  0.000
Tb  0.689  0.311  0.311
Tb  0.311  0.689  0.689
Si  0.500  0.269  0.731
Si  0.500  0.731  0.269
Ni  0.000  0.500  0.500
Ni  0.678  0.970  0.674
Ni  0.322  0.030  0.326
Ni  0.678  0.674  0.970
Ni  0.322  0.326  0.030
Ni  0.888  0.833  0.392
Ni  0.112  0.167  0.608
Ni  0.888  0.392  0.833
Ni  0.112  0.608  0.167


Going through the records in order, we get N(E_F) values of 26.5 3.1 3.7 12.7 states/eV/cell.
Going through the records in order, we get DFT total energy values of -6.08 -5.97 -6.14 -5.94 eV/atom.
Going through the records in order, we get raw formation energy values of -0.439 -0.669 -0.610 -0.458 eV/atom.